No. 1
NaTiCdF2: relaxed, PBE.

Properties
DFT total energy	-3.485	eV per atom

CIF file:
```
data_NaTiCdF2
_space_group_name_H-M_alt 'P 4/m m m'
_space_group_IT_number 123
_space_group_name_Hall '-P 4 2'
_cell_length_a 4.2271
_cell_length_b 4.2271
_cell_length_c 5.5086
_cell_angle_alpha 90.00
_cell_angle_beta 90.00
_cell_angle_gamma 90.00
loop_
_atom_site_label
_atom_site_type_symbol
_atom_site_fract_x
_atom_site_fract_y
_atom_site_fract_z
_atom_site_occupancy
Na1 Na 0.0000 0.0000 0.0000 1
Ti1 Ti 0.0000 0.0000 0.5000 1
Cd1 Cd 0.5000 0.5000 0.5000 1
F1 F 0.0000 0.5000 0.0000 1
```

---

No. 2
Y2Ni2Ru: relaxed, PBE.

Properties
formation energy from the elements	-0.16	eV/atom

CIF file:
```
data_Y2Ni2Ru
_space_group_name_H-M_alt 'I 4/m m m'
_space_group_IT_number 139
_space_group_name_Hall '-I 4 2'
_cell_length_a 3.3940
_cell_length_b 3.3940
_cell_length_c 16.2789
_cell_angle_alpha 90.00
_cell_angle_beta 90.00
_cell_angle_gamma 90.00
loop_
_atom_site_label
_atom_site_type_symbol
_atom_site_fract_x
_atom_site_fract_y
_atom_site_fract_z
_atom_site_occupancy
Y1 Y 0.0000 0.0000 0.1047 1
Ni1 Ni 0.0000 0.5000 0.2500 1
Ru1 Ru 0.0000 0.0000 0.5000 1
```

---

No. 3
Br2OF: relaxed, PBE.

Properties
DFT total energy	-2.175	eV per atom

CIF file:
```
data_Br2OF
_space_group_name_H-M_alt 'R -3 m'
_space_group_IT_number 166
_space_group_name_Hall '-R 3 2"'
_cell_length_a 3.3742
_cell_length_b 3.3742
_cell_length_c 22.7948
_cell_angle_alpha 90.00
_cell_angle_beta 90.00
_cell_angle_gamma 120.00
loop_
_atom_site_label
_atom_site_type_symbol
_atom_site_fract_x
_atom_site_fract_y
_atom_site_fract_z
_atom_site_occupancy
Br1 Br 0.0000 0.0000 0.0826 1
O1 O 0.0000 0.0000 0.0000 1
F1 F 0.0000 0.0000 0.5000 1
```